The following is a DFT calculation (PBE) of a relaxed structure of Lu3Ni2Ge3.

Cell: 5.461 5.461 13.849 Å, 90.00 90.00 135.23°
Fractional positions:
1 Ge 0.122 0.878 0.462
2 Ge 0.839 0.161 0.250
3 Ge 0.878 0.122 0.538
4 Ge 0.122 0.878 0.038
5 Ge 0.161 0.839 0.750
6 Ge 0.878 0.122 0.962
7 Ni 0.701 0.299 0.101
8 Ni 0.701 0.299 0.399
9 Ni 0.299 0.701 0.899
10 Ni 0.299 0.701 0.601
11 Lu 0.413 0.587 0.109
12 Lu 0.587 0.413 0.891
13 Lu 0.587 0.413 0.609
14 Lu 0.136 0.864 0.250
15 Lu 0.864 0.136 0.750
16 Lu 0.413 0.587 0.391

Its calculated volume is 18.18 A^3/atom. The value obtained for the magnetization is 0.00 μB per cell. The calculation puts the energy relative to the elements at -79 kJ/mol of atoms.